No. 1
Compound: Ho2PuTaN4
Source: the Alexandria database
Functional: PBE-GGA
Structure: relaxed

Lattice parameters (Å, degrees): 5.801 3.345 5.801 90.00 109.03 90.00
Space group P2/m (No. 10)
Asymmetric unit:
Ho 0.000 0.000 0.000 (multiplicity 1)
Ho 0.500 0.500 0.000 (multiplicity 1)
Pu 0.000 0.500 0.500 (multiplicity 1)
Ta 0.500 0.000 0.500 (multiplicity 1)
N 0.262 0.000 0.735 (multiplicity 2)
N 0.271 0.500 0.272 (multiplicity 2)

Computed properties:
The value obtained for the density of states at the Fermi level is 0.827 states/eV per atom. For the raw formation energy, the calculation gives -1.448 eV/atom.

---

No. 2
Compound: Li3Er3PuSe8
Source: the Alexandria database
Functional: PBE-GGA
Structure: relaxed

Lattice parameters (Å, degrees): 8.1181 8.1181 19.4632 90.00 90.00 120.00
Space group R-3m (No. 166, hexagonal axes)
Asymmetric unit:
Li 0.0000 0.5000 0.0000 (multiplicity 9)
Er 0.0000 0.5000 0.5000 (multiplicity 9)
Pu 0.0000 0.0000 0.5000 (multiplicity 3)
Se 0.0000 0.0000 0.2504 (multiplicity 6)
Se 0.0020 0.5010 0.2491 (multiplicity 18)

Computed properties:
The value obtained for the density of states at the Fermi level is 0.753 states/eV per atom. For the raw formation energy, the calculation gives -1.578 eV/atom.

---

No. 3
Compound: Tl2AgBr2Cl2
Source: the Alexandria database
Functional: PBE-GGA
Structure: relaxed

Lattice parameters (Å, degrees): 5.150 5.150 16.454 90.00 90.00 90.00
Space group I4/mmm (No. 139)
Asymmetric unit:
Tl 0.000 0.000 0.137 (multiplicity 4)
Ag 0.000 0.000 0.500 (multiplicity 2)
Br 0.000 0.000 0.334 (multiplicity 4)
Cl 0.000 0.500 0.000 (multiplicity 4)

Computed properties:
The value obtained for the density of states at the Fermi level is 0.763 states/eV per atom. For the raw formation energy, the calculation gives -0.658 eV/atom.

---

No. 4
Compound: ErThAlTl
Source: the Alexandria database
Functional: PBE-GGA
Structure: relaxed

Lattice parameters (Å, degrees): 7.527 7.527 7.527 90.00 90.00 90.00
Space group F-43m (No. 216)
Asymmetric unit:
Er 0.000 0.000 0.000 (multiplicity 4)
Th 0.000 0.000 0.500 (multiplicity 4)
Al 0.250 0.250 0.750 (multiplicity 4)
Tl 0.250 0.250 0.250 (multiplicity 4)

Computed properties:
The value obtained for the density of states at the Fermi level is 1.066 states/eV per atom. As for the formation energy: -0.19 eV per atom.

---

No. 5
Compound: Zr2AgHRh
Source: the Alexandria database
Functional: PBE-GGA
Structure: relaxed

Lattice parameters (Å, degrees): 4.500 4.500 3.851 90.00 90.00 90.00
Space group P4/mmm (No. 123)
Asymmetric unit:
Zr 0.000 0.500 0.000 (multiplicity 2)
Ag 0.000 0.000 0.500 (multiplicity 1)
H 0.500 0.500 0.000 (multiplicity 1)
Rh 0.500 0.500 0.500 (multiplicity 1)

Computed properties:
The value obtained for the density of states at the Fermi level is 0.825 states/eV per atom. For the offset from the most stable computed form, the calculation gives 0.00 eV per formula unit.

---

No. 6
Compound: BaAcCd
Source: the Alexandria database
Functional: PBE-GGA
Structure: relaxed

Lattice parameters (Å, degrees): 5.7718 5.7718 4.1993 90.00 90.00 120.00
Space group P3m1 (No. 156)
Asymmetric unit:
Ba 0.0000 0.0000 0.0000 (multiplicity 1)
Ac 0.3333 0.6667 0.5650 (multiplicity 1)
Cd 0.6667 0.3333 0.3319 (multiplicity 1)

Computed properties:
The value obtained for the density of states at the Fermi level is 1.144 states/eV per atom. As for the formation energy: -0.02 eV per atom. For the offset from the most stable computed form, the calculation gives 0.45 eV per formula unit.

---

No. 7
Compound: ZrGa2Fe2
Source: the Alexandria database
Functional: PBE-GGA
Structure: relaxed

Lattice parameters (Å, degrees): 3.691 3.691 11.228 90.00 90.00 90.00
Space group I4/mmm (No. 139)
Asymmetric unit:
Zr 0.000 0.000 0.000 (multiplicity 2)
Ga 0.000 0.000 0.391 (multiplicity 4)
Fe 0.000 0.500 0.250 (multiplicity 4)

Computed properties:
The value obtained for the density of states at the Fermi level is 0.585 states/eV per atom. As for the formation energy: -0.25 eV per atom. For the offset from the most stable computed form, the calculation gives 0.00 eV per formula unit.

---

No. 8
Compound: SrLa2MoP
Source: the Alexandria database
Functional: PBE-GGA
Structure: relaxed

Lattice parameters (Å, degrees): 5.754 5.754 4.641 90.00 90.00 90.00
Space group P4/mmm (No. 123)
Asymmetric unit:
Sr 0.000 0.000 0.000 (multiplicity 1)
La 0.000 0.500 0.500 (multiplicity 2)
Mo 0.500 0.500 0.000 (multiplicity 1)
P 0.500 0.500 0.500 (multiplicity 1)

Computed properties:
The value obtained for the density of states at the Fermi level is 0.890 states/eV per atom. As for the formation energy: -0.12 eV per atom.

---

No. 9
Compound: LiSn2As2
Source: the Alexandria database
Functional: PBE-GGA
Structure: relaxed

Lattice parameters (Å, degrees): 4.0480 4.0480 25.3453 90.00 90.00 120.00
Space group R-3m (No. 166, hexagonal axes)
Asymmetric unit:
Li 0.0000 0.0000 0.0000 (multiplicity 3)
Sn 0.0000 0.0000 0.2149 (multiplicity 6)
As 0.0000 0.0000 0.3961 (multiplicity 6)

Computed properties:
The value obtained for the density of states at the Fermi level is 0.411 states/eV per atom. As for the formation energy: -0.25 eV per atom. For the offset from the most stable computed form, the calculation gives 0.00 eV per formula unit.

---

No. 10
Compound: Pm6TmTh
Source: the Alexandria database
Functional: PBE-GGA
Structure: relaxed

Lattice parameters (Å, degrees): 6.677 6.732 6.839 60.59 88.37 87.60
Space group P-1 (No. 2)
Asymmetric unit:
Pm 0.244 0.466 0.499 (multiplicity 2)
Pm 0.251 0.925 0.005 (multiplicity 2)
Pm 0.253 0.430 0.993 (multiplicity 2)
Tm 0.500 0.000 0.500 (multiplicity 1)
Th 0.000 0.000 0.500 (multiplicity 1)

Computed properties:
The value obtained for the density of states at the Fermi level is 1.571 states/eV per atom. As for the formation energy: 0.19 eV per atom. For the offset from the most stable computed form, the calculation gives 1.23 eV per formula unit.

---

No. 11
Compound: Ta2V3Mo6
Source: the Alexandria database
Functional: PBE-GGA
Structure: relaxed

Lattice parameters (Å, degrees): 28.187 4.406 2.774 90.00 93.67 90.00
Space group C2/m (No. 12)
Asymmetric unit:
Ta 0.047 0.000 0.364 (multiplicity 4)
V 0.000 0.500 0.000 (multiplicity 2)
V 0.184 0.500 0.456 (multiplicity 4)
Mo 0.094 0.500 0.736 (multiplicity 4)
Mo 0.140 0.000 0.089 (multiplicity 4)
Mo 0.228 0.000 0.818 (multiplicity 4)

Computed properties:
The value obtained for the density of states at the Fermi level is 0.680 states/eV per atom. As for the formation energy: -0.09 eV per atom.

---

No. 12
Compound: YTm3Zr
Source: the Alexandria database
Functional: PBE-GGA
Structure: relaxed

Lattice parameters (Å, degrees): 3.429 9.126 9.743 74.49 89.96 79.19
Space group P-1 (No. 2)
Asymmetric unit:
Y 0.102 0.294 0.058 (multiplicity 2)
Tm 0.108 0.286 0.547 (multiplicity 2)
Tm 0.296 0.908 0.159 (multiplicity 2)
Tm 0.497 0.505 0.745 (multiplicity 2)
Zr 0.296 0.909 0.637 (multiplicity 2)

Computed properties:
The value obtained for the density of states at the Fermi level is 1.338 states/eV per atom. As for the formation energy: 0.06 eV per atom. For the offset from the most stable computed form, the calculation gives 0.00 eV per formula unit.